Entry 1:
Below is crystalline Pr3DyHo2S6 at its relaxed geometry, with properties calculated at the PBE-GGA level.

abc: 6.863 6.863 7.048
angles: 99.34 99.34 120.15
Fractional coordinates of all 12 atoms:
Ho (0.333, 0.667, 0.000)
Ho (0.667, 0.333, 0.000)
S (0.589, 0.924, 0.770)
S (0.076, 0.411, 0.230)
S (0.258, 0.258, 0.771)
S (0.924, 0.589, 0.770)
S (0.411, 0.076, 0.230)
S (0.742, 0.742, 0.229)
Dy (0.000, 0.000, 0.000)
Pr (0.500, 0.500, 0.500)
Pr (0.166, 0.834, 0.500)
Pr (0.834, 0.166, 0.500)

Its formation energy from raw total energies is -194.0 kJ per mole of atoms. Its magnetic moment is 0.00 μB/f.u. The energy comes out at -76.99 eV/cell. As for the space-group type: C2/m.

***

Entry 2:
Below is crystalline SrAsOsSe2 at its relaxed geometry, with properties calculated at the PBE-GGA level.

abc: 5.580 5.580 5.764
angles: 90.00 90.00 90.00
Site moments in Bohr magnetons follow the coordinates.
Fractional coordinates of all 5 atoms:
Sr (0.000, 0.000, 0.000)  -0.01
As (0.000, 0.000, 0.500)  -0.36
Se (0.000, 0.500, 0.000)  -0.02
Se (0.500, 0.000, 0.000)  -0.02
Os (0.500, 0.500, 0.500)  3.42

Its formation energy from raw total energies is 162.1 kJ per mole of atoms. Its magnetic moment is 3.14 μB/f.u. The energy comes out at -16.13 eV/cell. As for the space-group type: P4/mmm.

***

Entry 3:
Below is crystalline La2Ag2Rh at its relaxed geometry, with properties calculated at the PBE-GGA level.

abc: 4.031 5.832 11.668
angles: 94.04 99.78 110.22
Fractional coordinates of all 10 atoms:
Rh (0.389, 0.081, 0.700)
Rh (0.611, 0.919, 0.300)
Ag (0.876, 0.208, 0.544)
Ag (0.645, 0.186, 0.103)
Ag (0.124, 0.792, 0.456)
Ag (0.355, 0.814, 0.897)
La (0.666, 0.667, 0.662)
La (0.940, 0.750, 0.130)
La (0.060, 0.250, 0.870)
La (0.334, 0.333, 0.338)

Its magnetic moment is 0.00 μB/f.u. The value obtained for the formation energy from the elements is -0.43 eV/atom. The energy comes out at -50.14 eV/cell. As for the space-group type: P-1.

***

Entry 4:
Below is crystalline Pm6Nd2Tm at its relaxed geometry, with properties calculated at the PBE-GGA level.

abc: 6.113 10.358 10.358
angles: 69.63 84.29 84.29
Fractional coordinates of all 18 atoms:
Pm (0.285, 0.788, 0.006)
Pm (0.122, 0.340, 0.120)
Pm (0.622, 0.120, 0.340)
Pm (0.043, 0.549, 0.327)
Pm (0.957, 0.451, 0.673)
Pm (0.785, 0.006, 0.788)
Pm (0.378, 0.880, 0.660)
Pm (0.543, 0.327, 0.549)
Pm (0.215, 0.994, 0.212)
Pm (0.878, 0.660, 0.880)
Pm (0.457, 0.673, 0.451)
Pm (0.715, 0.212, 0.994)
Tm (0.750, 0.854, 0.146)
Tm (0.250, 0.146, 0.854)
Nd (0.417, 0.509, 0.819)
Nd (0.583, 0.491, 0.181)
Nd (0.917, 0.819, 0.509)
Nd (0.083, 0.181, 0.491)

Its magnetic moment is 0.00 μB/f.u. The value obtained for the formation energy from the elements is 0.08 eV/atom. The energy comes out at -83.55 eV/cell. As for the space-group type: C2/c.

***

Entry 5:
Below is crystalline Mg2VBr at its relaxed geometry, with properties calculated at the PBE-GGA level.

abc: 7.979 7.979 6.376
angles: 51.27 51.27 90.00
Site moments in Bohr magnetons follow the coordinates.
Fractional coordinates of all 8 atoms:
Mg (0.375, 0.356, 0.750)  -0.01
Mg (0.875, 0.894, 0.750)  -0.01
Mg (0.644, 0.125, 0.250)  -0.01
Mg (0.106, 0.625, 0.250)  -0.01
V (0.500, 0.500, 0.000)  2.95
V (0.250, 0.750, 0.500)  2.95
Br (0.750, 0.250, 0.500)  0.02
Br (0.000, 0.000, 0.000)  0.02

Its formation energy from raw total energies is 30.9 kJ per mole of atoms. Its magnetic moment is 3.84 μB/f.u. The energy comes out at -25.40 eV/cell. As for the space-group type: I-42d.